1.
PmBHRu, relaxed, DFT PBE-GGA; space-group type = P4/nmm, No. 129
1.0
3.978 0.000 0.000
0.000 3.978 0.000
0.000 0.000 7.471
Pm B H Ru
2 2 2 2
Cartesian
0.995 0.995 1.389
2.984 2.984 6.082
0.995 0.995 4.490
2.984 2.984 2.982
0.995 2.984 0.000
2.984 0.995 0.000
0.995 2.984 3.736
2.984 0.995 3.736

2.
PrB2H8, relaxed, DFT PBE-GGA; ΔE to the lowest computed polymorph = 0.0 kJ/mol of atoms; space-group type = C2/m, No. 12
1.0
3.662 -2.128 0.000
3.662 2.128 0.000
-2.506 0.000 5.979
Pr B H
1 2 8
Cartesian
0.000 0.000 0.000
-0.053 0.000 4.266
4.871 0.000 1.713
1.804 1.110 1.307
-0.031 0.000 3.055
3.014 1.110 4.672
1.117 0.000 4.700
3.702 0.000 1.279
1.804 -1.110 1.307
4.850 0.000 2.924
3.014 -1.110 4.672

3.
PrB3H12, relaxed, DFT PBE-GGA; space-group type = P6_3/m, No. 176
1.0
7.904 0.000 0.000
-3.952 6.845 0.000
0.000 0.000 5.563
Pr B H
2 6 24
Cartesian
0.000 4.564 1.391
3.952 2.282 4.172
-1.134 2.892 4.172
-0.881 6.381 4.172
1.938 2.428 1.391
2.015 4.418 4.172
4.833 0.464 1.391
5.086 3.953 1.391
-2.033 3.720 4.172
-2.417 5.117 1.391
-0.424 3.022 3.183
-0.424 3.022 5.162
0.729 2.193 1.391
-1.123 5.702 3.183
-1.123 5.702 5.162
2.264 0.465 4.172
2.405 1.879 0.401
2.405 1.879 2.381
1.747 3.225 4.172
3.666 0.100 1.391
0.286 6.746 4.172
2.205 3.621 1.391
1.547 4.967 3.183
1.547 4.967 5.162
1.688 6.380 1.391
5.075 1.144 0.401
5.075 1.144 2.381
3.223 4.652 4.172
4.376 3.823 0.401
4.376 3.823 2.381
6.369 1.728 4.172
5.985 3.125 1.391

4.
PrB2H8, relaxed, DFT PBE-GGA; ΔE to the lowest computed polymorph = 2.6 kJ/mol of atoms; space-group type = C2/m, No. 12
1.0
4.581 -2.039 0.000
4.581 2.039 0.000
-2.412 0.000 5.051
Pr B H
1 2 8
Cartesian
0.000 0.000 0.000
0.078 0.000 3.545
6.671 0.000 1.506
2.706 1.018 1.207
0.331 0.000 2.357
1.199 0.000 4.136
4.043 1.018 3.843
2.706 -1.018 1.207
5.550 0.000 0.915
6.418 0.000 2.694
4.043 -1.018 3.843

5.
PrBH, relaxed, DFT PBE-GGA; ΔE to the lowest computed polymorph = 14.5 kJ/mol of atoms; space-group type = Cmce, No. 64
1.0
3.558 -3.588 0.000
3.558 3.588 0.000
0.000 0.000 7.070
Pr B H
4 4 4
Cartesian
1.779 1.085 1.768
1.779 -1.085 5.303
5.337 1.085 1.768
5.337 -1.085 5.303
3.558 2.931 3.041
3.558 0.657 6.576
3.558 -0.657 0.494
3.558 -2.931 4.029
3.558 1.852 7.053
3.558 1.737 3.518
3.558 -1.737 3.552
3.558 -1.852 0.017

6.
PrBH, relaxed, DFT PBE-GGA; ΔE to the lowest computed polymorph = 0.0 kJ/mol of atoms; space-group type = P2_1/m, No. 11
1.0
3.691 0.000 0.000
0.000 3.211 0.000
-1.834 0.000 7.097
Pr B H
2 2 2
Cartesian
0.004 0.803 1.850
1.853 2.408 5.247
0.013 0.803 6.938
1.845 2.408 0.159
0.012 0.803 4.300
1.845 2.408 2.797

7.
Pr2BHPt6, relaxed, DFT PBE-GGA; space-group type = P-1, No. 2
1.0
5.867 0.000 0.000
-2.927 5.088 0.000
-2.881 -1.659 5.487
Pr B H Pt
2 1 1 6
Cartesian
-1.464 0.851 1.643
1.523 2.578 3.845
1.493 -0.829 2.744
1.470 2.544 0.000
-2.913 0.016 4.309
1.468 0.806 1.207
-0.032 3.413 1.206
0.091 0.016 4.281
-1.409 2.623 4.281
2.972 3.413 1.178

8.
PrBHPt6, relaxed, DFT PBE-GGA; space-group type = Imma, No. 74
1.0
-3.715 3.744 5.318
3.715 -3.744 5.318
3.715 3.744 -5.318
Pr B H Pt
2 2 2 12
Cartesian
0.000 1.872 1.547
3.715 1.872 3.770
1.857 1.872 -2.659
1.857 -1.872 2.659
3.715 0.000 0.000
0.000 0.000 5.318
2.197 -0.256 1.335
5.233 -0.256 1.335
3.715 -1.872 3.729
3.715 1.872 0.602
2.197 3.488 -1.335
1.518 -0.256 3.983
2.197 4.000 1.335
1.518 0.256 6.653
0.000 1.872 4.716
0.000 5.616 1.589
-1.518 4.000 3.983
1.518 4.000 3.983

9.
B2H2Pt5, relaxed, DFT PBE-GGA; space-group type = C2/m, No. 12
1.0
5.206 -2.030 0.000
5.206 2.030 0.000
-3.995 0.000 5.383
B H Pt
2 2 5
Cartesian
-0.121 0.000 1.588
6.537 0.000 3.796
-0.771 0.000 5.315
7.187 0.000 0.068
-1.998 0.000 2.692
1.474 0.000 0.049
1.488 0.000 2.924
4.928 0.000 2.460
4.942 0.000 5.335

10.
BHPt3, relaxed, DFT PBE-GGA; ΔE to the lowest computed polymorph = 0.0 kJ/mol of atoms; space-group type = P-1, No. 2
1.0
5.630 0.000 0.000
-0.087 6.092 0.000
-0.022 -1.080 8.267
B H Pt
4 4 12
Cartesian
-0.029 1.692 2.701
2.776 0.864 1.355
2.745 4.148 6.913
5.550 3.320 5.567
1.274 0.798 6.129
1.568 4.663 3.671
3.954 0.349 4.597
4.248 4.214 2.139
-0.060 3.719 3.391
1.398 0.080 2.755
1.373 2.487 1.309
1.345 2.506 6.970
1.324 4.954 5.485
2.781 0.146 7.549
2.741 4.866 0.719
4.198 0.058 2.783
4.177 2.506 1.297
4.148 2.525 6.958
4.124 4.932 5.513
5.582 1.293 4.877

11.
B3HPt, relaxed, DFT PBE-GGA; ΔE to the lowest computed polymorph = 11.9 kJ/mol of atoms; space-group type = Pm-3m, No. 221
1.0
3.398 0.000 0.000
0.000 3.398 0.000
0.000 0.000 3.398
B H Pt
3 1 1
Cartesian
0.000 0.000 1.699
0.000 1.699 0.000
1.699 0.000 0.000
0.000 0.000 0.000
1.699 1.699 1.699

12.
BH3Pt7, relaxed, DFT PBE-GGA; space-group type = Cm, No. 8
1.0
3.849 -3.711 0.000
3.849 3.711 0.000
-2.144 0.000 4.990
B H Pt
1 3 7
Cartesian
0.000 0.000 0.000
2.389 1.342 2.495
1.308 0.000 4.908
2.389 -1.342 2.495
1.230 2.261 3.514
-0.229 0.000 3.994
1.292 0.000 1.711
3.725 1.392 1.129
1.230 -2.261 3.514
3.725 -1.392 1.129
6.089 0.000 1.297

In the order shown, the computed VASP energy values come out to -6.536 -4.342 -4.325 -4.315 -5.148 -5.298 -6.262 -6.078 -5.623 -5.740 -4.469 -5.298 eV per atom.